This record from Alexandria via LeMat-Bulk describes crystalline Rb2Ga2Pb at its relaxed geometry. The functional is PBE.

## Properties
energy of formation	0.28	eV per atom
total moment	0.000	μB per formula unit
ρ	4.85	g/cm3

Cell lengths 4.8425, 4.8425, 8.2932 Å; angles 73.02, 73.02, 90.00 degrees
With the nearest neighbours (Å) after each atom.
Positions (direct):
Rb 0.7500 0.2500 0.5000  4 Rb 3.42, 4 Ga 3.50
Rb 0.2500 0.7500 0.5000  4 Rb 3.42, 4 Ga 3.50
Pb 0.0000 0.0000 0.0000  8 Ga 3.65
Ga 0.4171 0.4171 0.1657  1 Ga 2.50
Ga 0.5829 0.5829 0.8343  1 Ga 2.50

---

This record from Alexandria via LeMat-Bulk describes crystalline Pr5Nd12In2 at its relaxed geometry. The functional is PBE.

## Properties
energy of formation	-0.03	eV per atom
total moment	0.000	μB per formula unit
ρ	6.76	g/cm3

Cell lengths 9.4528, 9.2212, 8.7618 Å; angles 93.24, 90.00, 120.83 degrees
With the nearest neighbours (Å) after each atom.
Positions (direct):
Nd 0.8203 0.2524 0.6740  5 Nd 3.41-3.67, 4 Pr 3.48-3.78, 1 In 3.60
Nd 0.9591 0.2878 0.2370  1 In 3.26, 3 Nd 3.41-3.64
Nd 0.3287 0.2878 0.2370  1 In 3.26, 3 Nd 3.41-3.64
Nd 0.1797 0.7476 0.3260  5 Nd 3.41-3.67, 4 Pr 3.48-3.78, 1 In 3.60
Nd 0.4450 0.8899 0.6740  2 In 3.36, 7 Nd 3.41-3.67, 2 Pr 3.41-3.60
Nd 0.9230 0.8460 0.1142  5 Nd 3.25-3.64, 2 In 3.48, 1 Pr 3.52
Nd 0.6713 0.7122 0.7630  1 In 3.26, 3 Nd 3.41-3.64
Nd 0.4321 0.2524 0.6740  5 Nd 3.41-3.67, 4 Pr 3.48-3.78, 1 In 3.60
Nd 0.5679 0.7476 0.3260  5 Nd 3.41-3.67, 4 Pr 3.48-3.78, 1 In 3.60
Nd 0.5550 0.1101 0.3260  2 In 3.36, 7 Nd 3.41-3.67, 2 Pr 3.41-3.60
Nd 0.0409 0.7122 0.7630  1 In 3.26, 3 Nd 3.41-3.64
Nd 0.0770 0.1540 0.8858  5 Nd 3.25-3.64, 2 In 3.48, 1 Pr 3.52
Pr 0.0000 0.0000 0.5000  10 Nd 3.52-3.78, 2 Pr 3.70
Pr 0.3072 0.6145 0.9844  2 In 3.46, 6 Nd 3.60-3.69, 1 Pr 3.67
Pr 0.6928 0.3856 0.0156  2 In 3.46, 6 Nd 3.60-3.69, 1 Pr 3.67
Pr 0.7675 0.5350 0.4216  8 Nd 3.41-3.77, 2 Pr 3.67-3.70
Pr 0.2325 0.4650 0.5784  8 Nd 3.41-3.77, 2 Pr 3.67-3.70
In 0.6744 0.0000 0.0000  8 Nd 3.26-3.60, 1 In 3.30, 2 Pr 3.46
In 0.3256 0.0000 0.0000  8 Nd 3.26-3.60, 1 In 3.30, 2 Pr 3.46

---

This record from Alexandria via LeMat-Bulk describes crystalline Ir2Se at its relaxed geometry. The functional is PBE.

## Properties
formation energy without anion corrections	46	kJ per mole of atoms
total moment	0.000	μB per formula unit
ρ	15.38	g/cm3

Cell lengths 4.1359, 4.1359, 4.1359 Å; angles 60.00, 60.00, 60.00 degrees
With the nearest neighbours (Å) after each atom.
Positions (direct):
Se 0.0000 0.0000 0.0000  8 Ir 2.53
Ir 0.7500 0.7500 0.7500  4 Se 2.53
Ir 0.2500 0.2500 0.2500  4 Se 2.53

---

This record from Alexandria via LeMat-Bulk describes crystalline Cs2MoPbCl6 at its relaxed geometry. The functional is PBE.

## Properties
formation energy without anion corrections	-121	kJ per mole of atoms
total moment	4.000	μB per formula unit
ρ	3.96	g/cm3

Cell lengths 7.7335, 7.7335, 7.7427 Å; angles 60.04, 60.04, 90.00 degrees
With the nearest neighbours (Å) after each atom.
Positions (direct):
Cl 0.7329 0.2671 0.0000  1 Mo 2.55
Cl 0.2667 0.2667 0.4666  1 Mo 2.56
Cl 0.2671 0.7329 0.0000  1 Mo 2.55
Cl 0.7329 0.7329 0.0000  1 Mo 2.55
Cl 0.2671 0.2671 0.0000  1 Mo 2.55
Cl 0.7333 0.7333 0.5334  1 Mo 2.56
Cs 0.2500 0.7500 0.5000  12 Cl 3.87-3.88
Cs 0.7500 0.2500 0.5000  12 Cl 3.87-3.88
Pb 0.0000 0.0000 0.0000  6 Cl 2.92
Mo 0.5000 0.5000 0.0000  6 Cl 2.55-2.56

---

This record from Alexandria via LeMat-Bulk describes crystalline CsMgIrCl6 at its relaxed geometry. The functional is PBE.

## Properties
formation energy without anion corrections	-125	kJ per mole of atoms
total moment	0.000	μB per formula unit
ρ	3.33	g/cm3

Cell lengths 6.3848, 6.3848, 7.9367 Å; angles 90.00, 90.00, 60.00 degrees
With the nearest neighbours (Å) after each atom.
Positions (direct):
Cl 0.3554 0.0186 0.6717  1 Ir 2.37, 1 Mg 2.53
Cl 0.0186 0.3554 0.3283  1 Ir 2.37, 1 Mg 2.53
Cl 0.6260 0.3554 0.6717  1 Ir 2.37, 1 Mg 2.53
Cl 0.6260 0.0185 0.3283  1 Ir 2.37, 1 Mg 2.53
Cl 0.0185 0.6261 0.6717  1 Ir 2.37, 1 Mg 2.53
Cl 0.3554 0.6260 0.3283  1 Ir 2.37, 1 Mg 2.53
Cs 0.0000 0.0000 0.0000  6 Cl 3.50
Ir 0.3333 0.3333 0.5000  6 Cl 2.37
Mg 0.6666 0.6667 0.5000  6 Cl 2.53

---

This record from Alexandria via LeMat-Bulk describes crystalline Y3TlO at its relaxed geometry. The functional is PBE.

## Properties
formation energy without anion corrections	-95	kJ per mole of atoms
total moment	1.474	μB per formula unit
ρ	6.04	g/cm3

Cell lengths 9.1175, 9.1175, 9.1175 Å; angles 60.00, 60.00, 60.00 degrees
With the nearest neighbours (Å) after each atom.
Positions (direct):
Y 0.1885 0.1885 0.8115  2 O 2.42
Y 0.1885 0.8115 0.8115  2 O 2.42
Y 0.0615 0.0615 0.4385  2 O 2.42
Y 0.8115 0.8115 0.1885  2 O 2.42
Y 0.0615 0.4385 0.0615  2 O 2.42
Y 0.4385 0.0615 0.0615  2 O 2.42
Y 0.0615 0.4385 0.4385  2 O 2.42
Y 0.4385 0.4385 0.0615  2 O 2.42
Y 0.4385 0.0615 0.4385  2 O 2.42
Y 0.8115 0.1885 0.1885  2 O 2.42
Y 0.8115 0.1885 0.8115  2 O 2.42
Y 0.1885 0.8115 0.1885  2 O 2.42
Tl 0.6250 0.6250 0.6250  6 Y 3.31
Tl 0.1250 0.6250 0.6250  6 Y 3.31
Tl 0.6250 0.1250 0.6250  6 Y 3.31
Tl 0.6250 0.6250 0.1250  6 Y 3.31
O 0.6250 0.1250 0.1250  6 Y 2.42
O 0.1250 0.1250 0.6250  6 Y 2.42
O 0.1250 0.1250 0.1250  6 Y 2.42
O 0.1250 0.6250 0.1250  6 Y 2.42

---

This record from Alexandria via LeMat-Bulk describes crystalline HoEr3S4 at its relaxed geometry. The functional is PBE.

## Properties
formation energy without anion corrections	-189	kJ per mole of atoms
total moment	0.000	μB per formula unit
ρ	8.06	g/cm3

Cell lengths 3.8357, 6.7203, 6.7203 Å; angles 109.07, 90.00, 90.00 degrees
With the nearest neighbours (Å) after each atom.
Positions (direct):
Er 0.0000 0.0000 0.5000  6 S 2.73-2.74
Er 0.5000 0.5000 0.5000  6 S 2.73
Er 0.0000 0.5000 0.0000  6 S 2.73-2.74
S 0.0000 0.2513 0.2513  4 Er 2.73-2.74, 2 Ho 2.74
S 0.0000 0.7487 0.7487  4 Er 2.73-2.74, 2 Ho 2.74
S 0.5000 0.2507 0.7493  5 Er 2.73, 1 Ho 2.74
S 0.5000 0.7493 0.2507  5 Er 2.73, 1 Ho 2.74
Ho 0.5000 0.0000 0.0000  6 S 2.74

---

This record from Alexandria via LeMat-Bulk describes crystalline CaAs4Pt at its relaxed geometry. The functional is PBE.

## Properties
energy of formation	0.01	eV per atom
total moment	0.000	μB per formula unit
ρ	7.31	g/cm3

Cell lengths 5.5603, 5.5603, 5.5603 Å; angles 60.00, 60.00, 60.00 degrees
With the nearest neighbours (Å) after each atom.
Positions (direct):
As 0.8782 0.3739 0.3739  6 As 2.76-2.80
As 0.3739 0.8782 0.3739  6 As 2.76-2.80
As 0.3739 0.3739 0.3739  6 As 2.76-2.80
As 0.3739 0.3739 0.8782  6 As 2.76-2.80
Ca 0.7500 0.7500 0.7500  12 As 3.26, 4 Pt 3.40
Pt 0.0000 0.0000 0.0000  12 As 3.26, 4 Ca 3.40